1.
{"formula": "Nd4Cd3Pd", "functional": "GGA-PBE", "state": "relaxed", "dos_at_fermi_per_ev_atom": 0.96, "spacegroup": "P4/mmm (123)", "total_energy_ev_per_fu": -30.394, "delta_e_f_ev_per_atom": -0.42, "lattice_angstrom": [[3.7936, 0.0000, 0.0000], [0.0000, 3.7936, 0.0000], [0.0000, 0.0000, 15.2032]], "species": ["Nd", "Nd", "Nd", "Nd", "Cd", "Cd", "Cd", "Pd"], "fractional_positions": [[0.0000, 0.0000, 0.6292], [0.0000, 0.0000, 0.1112], [0.0000, 0.0000, 0.3708], [0.0000, 0.0000, 0.8888], [0.5000, 0.5000, 0.2437], [0.5000, 0.5000, 0.7563], [0.5000, 0.5000, 0.5000], [0.5000, 0.5000, 0.0000]]}

---

2.
{"formula": "NdCd9Pd3", "functional": "GGA-PBE", "state": "relaxed", "dos_at_fermi_per_ev_atom": 0.57, "spacegroup": "C2/m (12)", "total_energy_ev_per_fu": -32.564, "delta_e_f_ev_per_atom": -0.31, "lattice_angstrom": [[5.2562, 0.0268, 2.1336], [2.5610, 6.8636, 1.0395], [-0.0065, 0.0134, 7.5573]], "species": ["Cd", "Cd", "Cd", "Cd", "Cd", "Cd", "Cd", "Cd", "Cd", "Pd", "Pd", "Pd", "Nd"], "fractional_positions": [[0.9996, 0.3351, 0.6514], [0.2882, 0.2128, 0.2204], [0.0000, 0.5000, 0.0000], [0.0004, 0.6649, 0.3486], [0.5086, 0.2128, 0.7796], [0.6510, 0.3351, 0.3486], [0.3490, 0.6649, 0.6514], [0.7118, 0.7872, 0.7796], [0.4914, 0.7872, 0.2204], [0.5000, 0.0000, 0.5000], [0.5000, 0.5000, 0.0000], [0.0000, 0.0000, 0.5000], [0.0000, 0.0000, 0.0000]]}

---

3.
{"formula": "Nd2CdPd4", "functional": "GGA-PBE", "state": "relaxed", "dos_at_fermi_per_ev_atom": 0.60, "spacegroup": "I4/mmm (139)", "total_energy_ev_per_fu": -32.188, "delta_e_f_ev_per_atom": -0.14, "lattice_angstrom": [[-4.0095, 2.9335, 0.0130], [-2.9334, -4.0089, -0.0741], [3.4229, 0.4394, 7.2696]], "species": ["Pd", "Pd", "Pd", "Pd", "Nd", "Nd", "Cd"], "fractional_positions": [[0.0000, 0.5000, 0.0000], [0.5000, 0.0000, 0.0000], [0.8167, 0.8167, 0.6333], [0.1833, 0.1833, 0.3667], [0.6313, 0.6313, 0.2627], [0.3687, 0.3687, 0.7373], [0.0000, 0.0000, 0.0000]]}

---

4.
{"formula": "Nd3Cd2Pd7", "functional": "GGA-PBE", "state": "relaxed", "dos_at_fermi_per_ev_atom": 0.35, "spacegroup": "Cmmm (65)", "total_energy_ev_per_fu": -59.453, "delta_e_f_ev_per_atom": -0.58, "lattice_angstrom": [[-0.3390, -3.1884, 2.5369], [4.1430, 0.2236, 0.8347], [-4.8174, 9.0991, 10.7921]], "species": ["Cd", "Cd", "Pd", "Pd", "Pd", "Pd", "Pd", "Pd", "Pd", "Nd", "Nd", "Nd"], "fractional_positions": [[0.5000, 0.6311, 0.2620], [0.5000, 0.3689, 0.7380], [0.5000, 0.9279, 0.8557], [0.0000, 0.0000, 0.0000], [0.0000, 0.5710, 0.1420], [0.0000, 0.4290, 0.8580], [0.5000, 0.2781, 0.5561], [0.5000, 0.0721, 0.1443], [0.5000, 0.7219, 0.4439], [0.5000, 0.5000, 0.0000], [0.0000, 0.8107, 0.6206], [0.0000, 0.1893, 0.3794]]}

---

5.
{"formula": "Nd2Cd5Pd4", "functional": "GGA-PBE", "state": "relaxed", "dos_at_fermi_per_ev_atom": 0.48, "spacegroup": "Fmmm (69)", "total_energy_ev_per_fu": -39.675, "delta_e_f_ev_per_atom": -0.44, "lattice_angstrom": [[5.6831, 0.0000, 0.0000], [2.8416, 4.7194, 0.0000], [2.8416, 0.0000, 9.1749]], "species": ["Cd", "Cd", "Cd", "Cd", "Cd", "Pd", "Pd", "Pd", "Pd", "Nd", "Nd"], "fractional_positions": [[0.7500, 0.5000, 0.5000], [0.5000, 0.0000, 0.0000], [0.0000, 0.5000, 0.0000], [0.5000, 0.5000, 0.0000], [0.2500, 0.5000, 0.5000], [0.2102, 0.3233, 0.2562], [0.4665, 0.3233, 0.7438], [0.7898, 0.6767, 0.7438], [0.5335, 0.6767, 0.2562], [0.1319, 0.0000, 0.7363], [0.8681, 0.0000, 0.2637]]}

---

6.
{"formula": "Nd2Cd5Pd", "functional": "GGA-PBE", "state": "relaxed", "dos_at_fermi_per_ev_atom": 0.46, "spacegroup": "Cmcm (63)", "total_energy_ev_per_fu": -21.949, "delta_e_f_ev_per_atom": -0.33, "lattice_angstrom": [[-2.4068, 2.8254, -1.5132], [-6.1012, -8.0171, 0.0436], [-3.0934, 2.4053, 9.4115]], "species": ["Nd", "Nd", "Nd", "Nd", "Cd", "Cd", "Cd", "Cd", "Cd", "Cd", "Cd", "Cd", "Cd", "Cd", "Pd", "Pd"], "fractional_positions": [[0.1656, 0.3312, 0.2500], [0.8344, 0.6688, 0.7500], [0.0000, 0.0000, 0.0000], [0.0000, 0.0000, 0.5000], [0.3699, 0.7399, 0.9847], [0.2161, 0.4323, 0.8936], [0.7839, 0.5677, 0.3936], [0.6301, 0.2601, 0.4847], [0.5880, 0.1761, 0.7500], [0.3699, 0.7399, 0.5153], [0.7839, 0.5677, 0.1064], [0.6301, 0.2601, 0.0153], [0.2161, 0.4323, 0.6064], [0.4120, 0.8239, 0.2500], [0.4479, 0.8958, 0.7500], [0.5521, 0.1042, 0.2500]]}

---

Which formula does entry 1 have? Nd4Cd3Pd